Entry 1:
Below is a relaxed structure of Na3Cr2SnSe6, with properties calculated at the GGA-PBE level.

The space group is C2/m (No. 12) and the conventional cell measures 6.770, 11.742 and 7.227 Å, with angles of 90.00, 108.56 and 90.00 degrees. The distinct sites, in fractional coordinates, are Na at (0.000, 0.000, 0.000), Na at (0.000, 0.341, 0.000), Cr at (0.000, 0.168, 0.500), Sn at (0.000, 0.500, 0.500), Se at (0.207, 0.000, 0.705) and Se at (0.250, 0.181, 0.295).

For the mass density, the calculation gives 4668 kg/m³. The formation energy from raw total energies comes out at -765 meV per atom. As for the total magnetization: 5.00 μB per formula unit.

=====

Entry 2:
Below is a relaxed structure of SmHgSO6, with properties calculated at the GGA-PBE level.

The space group is P1 (No. 1) and the conventional cell measures 4.615, 5.244 and 6.755 Å, with angles of 111.30, 93.97 and 102.51 degrees. The distinct sites, in fractional coordinates, are Sm at (0.000, 0.000, 0.000), Hg at (0.546, 0.310, 0.738), S at (0.047, 0.634, 0.229), O at (0.025, 0.430, 0.334), O at (0.114, 0.478, 0.001), O at (0.279, 0.906, 0.331), O at (0.480, 0.026, 0.891), O at (0.702, 0.673, 0.687) and O at (0.759, 0.707, 0.188).

For the mass density, the calculation gives 5421 kg/m³. The formation energy from raw total energies comes out at -1470 meV per atom. As for the total magnetization: 1.00 μB per formula unit.

=====

Entry 3:
Below is a relaxed structure of Ba2Cd6Hg3, with properties calculated at the GGA-PBE level.

The space group is P-62m (No. 189) and the conventional cell measures 8.9635, 8.9635 and 4.5919 Å, with angles of 90.00, 90.00 and 120.00 degrees. The distinct sites, in fractional coordinates, are Ba at (0.3333, 0.6667, 0.0000), Cd at (0.0000, 0.2722, 0.5000), Cd at (0.0000, 0.8097, 0.0000) and Hg at (0.0000, 0.6010, 0.5000).

For the mass density, the calculation gives 8060 kg/m³. The formation energy is -0.266 eV/atom. As for the total magnetization: 0.00 μB per formula unit.

=====

Entry 4:
Below is a relaxed structure of Sr2PuGe3Pt4, with properties calculated at the GGA-PBE level.

The space group is P-4m2 (No. 115) and the conventional cell measures 4.432, 4.432 and 11.030 Å, with angles of 90.00, 90.00 and 90.00 degrees. The distinct sites, in fractional coordinates, are Sr at (0.000, 0.500, 0.231), Pu at (0.000, 0.000, 0.500), Ge at (0.000, 0.500, 0.884), Ge at (0.500, 0.500, 0.500), Pt at (0.000, 0.000, 0.000), Pt at (0.000, 0.500, 0.658) and Pt at (0.500, 0.500, 0.000).

For the mass density, the calculation gives 10865 kg/m³. The formation energy is -0.775 eV/atom. As for the total magnetization: 5.26 μB per formula unit.

=====

Entry 5:
Below is a relaxed structure of GaHgTe, with properties calculated at the GGA-PBE level.

The space group is P2_1/c (No. 14) and the conventional cell measures 7.588, 7.012 and 7.495 Å, with angles of 90.00, 119.15 and 90.00 degrees. The distinct sites, in fractional coordinates, are Ga at (0.124, 0.140, 0.258), Hg at (0.196, 0.727, 0.694) and Te at (0.356, 0.108, 0.680).

For the mass density, the calculation gives 7588 kg/m³. The formation energy from raw total energies comes out at -91 meV per atom. As for the total magnetization: 0.00 μB per formula unit.

=====

Entry 6:
Below is a relaxed structure of NdY2ThS4, with properties calculated at the GGA-PBE level.

The space group is P2/m (No. 10) and the conventional cell measures 6.871, 3.947 and 6.988 Å, with angles of 90.00, 109.03 and 90.00 degrees. The distinct sites, in fractional coordinates, are Nd at (0.000, 0.000, 0.000), Y at (0.000, 0.500, 0.500), Y at (0.500, 0.000, 0.500), Th at (0.500, 0.500, 0.000), S at (0.246, 0.000, 0.736) and S at (0.256, 0.500, 0.264).

For the mass density, the calculation gives 6324 kg/m³. The formation energy from raw total energies comes out at -1957 meV per atom. As for the total magnetization: 0.00 μB per formula unit.

=====

Entry 7:
Below is a relaxed structure of K2CoTe, with properties calculated at the GGA-PBE level.

The space group is R3m (No. 160, hexagonal axes) and the conventional cell measures 4.3596, 4.3596 and 28.1245 Å, with angles of 90.00, 90.00 and 120.00 degrees. The distinct sites, in fractional coordinates, are K at (0.0000, 0.0000, 0.0000), K at (0.0000, 0.0000, 0.1771), Co at (0.0000, 0.0000, 0.7552) and Te at (0.0000, 0.0000, 0.4219).

For the mass density, the calculation gives 2849 kg/m³. The formation energy from raw total energies comes out at -146 meV per atom. As for the total magnetization: 1.29 μB per formula unit.

=====

Entry 8:
Below is a relaxed structure of RbNb3Zn4O12, with properties calculated at the GGA-PBE level.

The space group is R32 (No. 155, hexagonal axes) and the conventional cell measures 11.3750, 11.3750 and 7.6360 Å, with angles of 90.00, 90.00 and 120.00 degrees. The distinct sites, in fractional coordinates, are Rb at (0.0000, 0.0000, 0.0000), Nb at (0.0000, 0.5557, 0.0000), Zn at (0.0000, 0.0000, 0.5000), Zn at (0.0000, 0.4444, 0.5000), O at (0.0000, 0.6095, 0.5000), O at (0.0000, 0.8316, 0.5000) and O at (0.0618, 0.2350, 0.1982).

For the mass density, the calculation gives 4761 kg/m³. The formation energy from raw total energies comes out at -2008 meV per atom. As for the total magnetization: 0.00 μB per formula unit.

=====

Question: Which formula does entry 2 have?
Answer: SmHgSO6

=====

Question: The highest mass density belongs to which entry?
Answer: Sr2PuGe3Pt4

=====

Question: Which of these has the highest mass density?
Answer: Sr2PuGe3Pt4

=====

Question: Which of these has the highest mass density?
Answer: Sr2PuGe3Pt4